First-principles (PBEsol) data for a relaxed Te2PAu crystal, as listed in Alexandria via LeMat-Bulk.

Geometry as POSCAR:
```
Te2PAu
1.0
-1.902 3.636 3.799
1.902 -3.636 3.799
1.902 3.636 -3.799
Te P Au
2 1 1
Cartesian
0.000 0.000 1.836
0.000 0.000 5.763
1.902 0.000 0.000
0.000 3.636 0.000
```

Results
- space-group type = Immm, No. 71
- ΔE_f (raw) (eV per atom) = 0.39


First-principles (PBEsol) data for a relaxed Cs2HgPdCl6 crystal, as listed in Alexandria via LeMat-Bulk.

Geometry as POSCAR:
```
Cs2HgPdCl6
1.0
-3.686 3.686 5.245
3.686 -3.686 5.245
3.686 3.686 -5.245
Cs Hg Pd Cl
2 1 1 6
Cartesian
3.686 0.000 2.623
0.000 3.686 2.623
0.000 0.000 0.000
0.000 0.000 5.245
0.000 0.000 2.362
2.056 2.056 0.000
1.630 -1.630 5.245
-1.630 1.630 5.245
1.630 1.630 5.245
0.000 0.000 8.128
```

Results
- space-group type = I4/mmm, No. 139
- ΔE_f (raw) (eV per atom) = -1.18


First-principles (PBEsol) data for a relaxed FeTc2Os crystal, as listed in Alexandria via LeMat-Bulk.

Geometry as POSCAR:
```
FeTc2Os
1.0
4.358 -1.333 0.000
4.358 1.333 0.000
-0.797 0.000 4.535
Fe Tc Os
1 2 1
Cartesian
0.000 0.000 0.000
1.608 0.000 3.467
3.944 0.000 2.256
6.320 0.000 1.111
```

Results
- space-group type = Cm, No. 8
- relative energy among the computed polymorphs (eV per atom) = 0.028


First-principles (PBEsol) data for a relaxed LiLaZn2 crystal, as listed in Alexandria via LeMat-Bulk.

Geometry as POSCAR:
```
LiLaZn2
1.0
0.000 3.388 3.388
3.388 0.000 3.388
3.388 3.388 0.000
Li La Zn
1 1 2
Cartesian
0.000 0.000 0.000
5.081 5.081 5.081
1.694 1.694 1.694
3.388 3.388 3.388
```

Results
- space-group type = F-43m, No. 216


First-principles (PBEsol) data for a relaxed LiZr3N crystal, as listed in Alexandria via LeMat-Bulk.

Geometry as POSCAR:
```
LiZr3N
1.0
4.478 0.000 0.000
0.000 4.478 0.000
0.000 0.000 4.478
Li Zr N
1 3 1
Cartesian
0.000 0.000 0.000
0.000 0.000 2.239
0.000 2.239 0.000
2.239 0.000 0.000
2.239 2.239 2.239
```

Results
- space-group type = Pm-3m, No. 221
- ΔE_f (raw) (eV per atom) = 1.51


First-principles (PBEsol) data for a relaxed AlB2Mo2 crystal, as listed in Alexandria via LeMat-Bulk.

Geometry as POSCAR:
```
AlB2Mo2
1.0
5.838 0.000 0.000
0.000 5.838 0.000
0.000 0.000 3.140
Al B Mo
2 4 4
Cartesian
0.000 0.000 0.000
2.919 2.919 0.000
0.654 2.265 0.000
2.265 5.184 0.000
3.573 0.654 0.000
5.184 3.573 0.000
1.017 3.936 1.570
1.902 1.017 1.570
3.936 4.821 1.570
4.821 1.902 1.570
```

Results
- space-group type = P4/mbm, No. 127


Per-record raw total energy, eV/atom: -3.80 -3.22 -10.82 -2.82 -6.04 -8.85